[1]
Entry from Alexandria via LeMat-Bulk: a relaxed structure of Tb6Nd2Zn (PBE).

Cell and atoms, written as POSCAR:
```
Tb6Nd2Zn
1.0
9.8190 0.0000 0.0000
0.0000 10.2762 0.0000
0.0000 0.0000 5.4527
Tb Nd Zn
12 4 2
Direct
0.0149 0.1894 0.0000
0.1348 0.6028 0.5000
0.1910 0.9266 0.5000
0.3090 0.4266 0.0000
0.3652 0.1028 0.0000
0.4851 0.6894 0.5000
0.5149 0.3106 0.5000
0.6348 0.8972 0.0000
0.6910 0.5734 0.0000
0.8090 0.0734 0.5000
0.8652 0.3972 0.5000
0.9851 0.8106 0.0000
0.1882 0.2506 0.5000
0.3118 0.7506 0.0000
0.6882 0.2494 0.0000
0.8118 0.7494 0.5000
0.0000 0.5000 0.0000
0.5000 0.0000 0.5000
```

Output
E_form	0.0250	eV per atom

=====

[2]
Entry from Alexandria via LeMat-Bulk: a relaxed structure of EuCuBi2 (PBE).

Cell and atoms, written as POSCAR:
```
EuCuBi2
1.0
4.8796 0.0000 0.0000
0.0000 4.8796 0.0000
0.0000 0.0000 4.4746
Eu Cu Bi
1 1 2
Direct
0.0000 0.0000 0.0000
0.5000 0.5000 0.0000
0.0000 0.5000 0.5000
0.5000 0.0000 0.5000
```

Output
energy above the most stable polymorph in this dataset	0.0	kJ/mol of formula units
E_form	-0.2453	eV per atom

=====

[3]
Entry from Alexandria via LeMat-Bulk: a relaxed structure of MnGaAg2 (PBE).

Cell and atoms, written as POSCAR:
```
MnGaAg2
1.0
3.9918 0.0000 0.0000
0.0000 3.9918 0.0000
0.0000 0.0000 4.1640
Mn Ga Ag
1 1 2
Direct
0.0000 0.0000 0.0000
0.5000 0.5000 0.0000
0.0000 0.5000 0.5000
0.5000 0.0000 0.5000
```

Output
E_form	0.1205	eV per atom

=====

[4]
Entry from Alexandria via LeMat-Bulk: a relaxed structure of BaTl2Pb10 (PBE).

Cell and atoms, written as POSCAR:
```
BaTl2Pb10
1.0
0.0000 8.0244 8.2898
3.2862 0.0000 8.2898
3.2862 8.0244 0.0000
Ba Tl Pb
1 2 10
Direct
0.0000 0.0000 0.0000
0.0000 0.5000 0.0000
0.5000 0.0000 0.5000
0.0000 0.0000 0.5000
0.0019 0.6448 0.3552
0.2835 0.4995 0.5005
0.3552 0.9981 0.0019
0.4995 0.2835 0.7165
0.5000 0.5000 0.0000
0.5005 0.7165 0.2835
0.6448 0.0019 0.9981
0.7165 0.5005 0.4995
0.9981 0.3552 0.6448
```

Output
E_form	-0.0794	eV per atom

=====

[5]
Entry from Alexandria via LeMat-Bulk: a relaxed structure of LiBSeN2 (PBE).

Cell and atoms, written as POSCAR:
```
LiBSeN2
1.0
3.1434 0.0000 0.0000
0.0000 3.1434 0.0000
0.0000 0.0000 8.1073
Li B Se N
1 1 1 2
Direct
0.0000 0.0000 0.0000
0.5000 0.5000 0.5000
0.5000 0.5000 0.0000
0.0000 0.5000 0.5000
0.5000 0.0000 0.5000
```

Output
uncorrected formation energy	0.792	eV/atom
energy above the most stable polymorph in this dataset	0.0	kJ/mol of formula units

=====

[6]
Entry from Alexandria via LeMat-Bulk: a relaxed structure of TlHgCl (PBE).

Cell and atoms, written as POSCAR:
```
TlHgCl
1.0
4.5052 0.0000 0.0000
0.0000 4.5271 0.0000
-0.1274 0.0000 10.0848
Tl Hg Cl
2 2 2
Direct
0.2482 0.2500 0.3334
0.7518 0.7500 0.6666
0.2501 0.7500 0.9548
0.7499 0.2500 0.0452
0.2520 0.2500 0.6306
0.7480 0.7500 0.3694
```

Output
uncorrected formation energy	-0.645	eV/atom
energy above the most stable polymorph in this dataset	0.0	kJ/mol of formula units

=====

[7]
Entry from Alexandria via LeMat-Bulk: a relaxed structure of PtBrN2 (PBE).

Cell and atoms, written as POSCAR:
```
PtBrN2
1.0
1.6383 0.9459 6.0411
-1.6383 0.9459 6.0411
0.0000 -1.8918 6.0411
Pt Br N
1 1 2
Direct
0.0000 0.0000 0.0000
0.5000 0.5000 0.5000
0.3841 0.3841 0.3841
0.6159 0.6159 0.6159
```

Output
uncorrected formation energy	0.956	eV/atom
energy above the most stable polymorph in this dataset	0.0	kJ/mol of formula units

=====

[8]
Entry from Alexandria via LeMat-Bulk: a relaxed structure of Y2CdW (PBE).

Cell and atoms, written as POSCAR:
```
Y2CdW
1.0
1.6484 0.9517 10.3503
-1.6484 0.9517 10.3503
0.0000 -1.9034 10.3503
Y Cd W
2 1 1
Direct
0.2431 0.2431 0.2431
0.7569 0.7569 0.7569
0.0000 0.0000 0.0000
0.5000 0.5000 0.5000
```

Output
E_form	0.4224	eV per atom

=====

[9]
Entry from Alexandria via LeMat-Bulk: a relaxed structure of Li5Ag3F12 (PBE).

Cell and atoms, written as POSCAR:
```
Li5Ag3F12
1.0
-6.1358 6.1358 6.1358
6.1358 -6.1358 6.1358
6.1358 6.1358 -6.1358
Li Ag F
20 12 48
Direct
0.0000 0.0000 0.0000
0.0000 0.0000 0.5000
0.0000 0.5000 0.0000
0.0000 0.5000 0.5000
0.1250 0.7500 0.8750
0.1250 0.8750 0.2500
0.2500 0.1250 0.8750
0.2500 0.6250 0.3750
0.3750 0.2500 0.6250
0.3750 0.6250 0.7500
0.5000 0.0000 0.0000
0.5000 0.0000 0.5000
0.5000 0.5000 0.0000
0.5000 0.5000 0.5000
0.6250 0.3750 0.2500
0.6250 0.7500 0.3750
0.7500 0.3750 0.6250
0.7500 0.8750 0.1250
0.8750 0.1250 0.7500
0.8750 0.2500 0.1250
0.1250 0.2500 0.3750
0.1250 0.3750 0.7500
0.2500 0.3750 0.1250
0.2500 0.8750 0.6250
0.3750 0.1250 0.2500
0.3750 0.7500 0.1250
0.6250 0.2500 0.8750
0.6250 0.8750 0.7500
0.7500 0.1250 0.3750
0.7500 0.6250 0.8750
0.8750 0.6250 0.2500
0.8750 0.7500 0.6250
0.0386 0.2181 0.1183
0.0386 0.3205 0.9203
0.0797 0.6183 0.4002
0.0797 0.9614 0.6795
0.0998 0.7181 0.6795
0.0998 0.8817 0.4203
0.1183 0.0386 0.2181
0.1183 0.5797 0.9002
0.1795 0.2181 0.5998
0.1795 0.4614 0.5797
0.2181 0.1183 0.0386
0.2181 0.5998 0.1795
0.2819 0.3205 0.9002
0.2819 0.4614 0.3817
0.3205 0.9002 0.2819
0.3205 0.9203 0.0386
0.3817 0.2819 0.4614
0.3817 0.5998 0.9203
0.4002 0.0797 0.6183
0.4002 0.8205 0.7819
0.4203 0.0998 0.8817
0.4203 0.8205 0.5386
0.4614 0.3817 0.2819
0.4614 0.5797 0.1795
0.5386 0.4203 0.8205
0.5386 0.6183 0.7181
0.5797 0.1795 0.4614
0.5797 0.9002 0.1183
0.5998 0.1795 0.2181
0.5998 0.9203 0.3817
0.6183 0.4002 0.0797
0.6183 0.7181 0.5386
0.6795 0.0797 0.9614
0.6795 0.0998 0.7181
0.7181 0.5386 0.6183
0.7181 0.6795 0.0998
0.7819 0.4002 0.8205
0.7819 0.8817 0.9614
0.8205 0.5386 0.4203
0.8205 0.7819 0.4002
0.8817 0.4203 0.0998
0.8817 0.9614 0.7819
0.9002 0.1183 0.5797
0.9002 0.2819 0.3205
0.9203 0.0386 0.3205
0.9203 0.3817 0.5998
0.9614 0.6795 0.0797
0.9614 0.7819 0.8817
```

Output
uncorrected formation energy	-1.916	eV/atom

=====

[10]
Entry from Alexandria via LeMat-Bulk: a relaxed structure of Ni7IrPt4 (PBE).

Cell and atoms, written as POSCAR:
```
Ni7IrPt4
1.0
4.5076 -2.2394 0.0000
4.5076 2.2394 0.0000
-3.4072 0.0000 8.2118
Ni Ir Pt
7 1 4
Direct
0.0000 0.0000 0.0000
0.1465 0.1465 0.6135
0.2143 0.2143 0.9111
0.3710 0.3710 0.5264
0.6290 0.6290 0.4736
0.7857 0.7857 0.0889
0.8535 0.8535 0.3865
0.5000 0.5000 0.0000
0.0960 0.0960 0.3036
0.3703 0.3703 0.2299
0.6297 0.6297 0.7701
0.9040 0.9040 0.6964
```

Output
energy above the most stable polymorph in this dataset	319.3	kJ/mol of formula units
E_form	0.2690	eV per atom

=====

[11]
Entry from Alexandria via LeMat-Bulk: a relaxed structure of ZnFeOs2 (PBE).

Cell and atoms, written as POSCAR:
```
ZnFeOs2
1.0
-1.9185 1.9185 3.6626
1.9185 -1.9185 3.6626
1.9185 1.9185 -3.6626
Zn Fe Os
1 1 2
Direct
0.0000 0.0000 0.0000
0.5000 0.5000 0.0000
0.2500 0.7500 0.5000
0.7500 0.2500 0.5000
```

Output
E_form	0.3121	eV per atom

=====

[12]
Entry from Alexandria via LeMat-Bulk: a relaxed structure of FeIr2Cl (PBE).

Cell and atoms, written as POSCAR:
```
FeIr2Cl
1.0
-2.0219 2.0219 3.6000
2.0219 -2.0219 3.6000
2.0219 2.0219 -3.6000
Fe Ir Cl
1 2 1
Direct
0.0000 0.0000 0.0000
0.2500 0.7500 0.5000
0.7500 0.2500 0.5000
0.5000 0.5000 0.0000
```

Output
uncorrected formation energy	0.929	eV/atom
energy above the most stable polymorph in this dataset	227.0	kJ/mol of formula units

=====

[13]
Entry from Alexandria via LeMat-Bulk: a relaxed structure of Ce2P3Rh4Au (PBE).

Cell and atoms, written as POSCAR:
```
Ce2P3Rh4Au
1.0
3.9594 0.0000 0.0000
0.0000 3.9594 0.0000
0.0000 0.0000 10.9850
Ce P Rh Au
2 3 4 1
Direct
0.0000 0.5000 0.2501
0.5000 0.0000 0.7499
0.0000 0.0000 0.0000
0.0000 0.5000 0.6226
0.5000 0.0000 0.3774
0.0000 0.0000 0.5000
0.0000 0.5000 0.8285
0.5000 0.0000 0.1715
0.5000 0.5000 0.5000
0.5000 0.5000 0.0000
```

Output
E_form	-0.9347	eV per atom

=====

[14]
Entry from Alexandria via LeMat-Bulk: a relaxed structure of TiZn3Pd2 (PBE).

Cell and atoms, written as POSCAR:
```
TiZn3Pd2
1.0
7.4909 0.0000 0.0000
0.0000 2.7951 0.0000
0.0000 0.0000 17.3757
Ti Zn Pd
4 12 8
Direct
0.1518 0.2500 0.1676
0.3482 0.7500 0.6676
0.6518 0.2500 0.3324
0.8482 0.7500 0.8324
0.0434 0.2500 0.4204
0.0922 0.2500 0.9360
0.2147 0.7500 0.8139
0.2853 0.2500 0.3139
0.4078 0.7500 0.4360
0.4566 0.7500 0.9204
0.5434 0.2500 0.0796
0.5922 0.2500 0.5640
0.7147 0.7500 0.6861
0.7853 0.2500 0.1861
0.9078 0.7500 0.0640
0.9566 0.7500 0.5796
0.0271 0.2500 0.7098
0.2391 0.2500 0.5451
0.2609 0.7500 0.0451
0.4729 0.7500 0.2098
0.5271 0.2500 0.7902
0.7391 0.2500 0.9549
0.7609 0.7500 0.4549
0.9729 0.7500 0.2902
```

Output
E_form	-0.3721	eV per atom

=====

[15]
Entry from Alexandria via LeMat-Bulk: a relaxed structure of Nd2NiGe3 (PBE).

Cell and atoms, written as POSCAR:
```
Nd2NiGe3
1.0
4.2175 0.0000 0.0000
0.0000 4.2438 0.0000
0.0000 0.0000 7.1946
Nd Ni Ge
2 1 3
Direct
0.0000 0.0000 0.0000
0.0000 0.5000 0.4982
0.5000 0.0000 0.3175
0.5000 0.0000 0.6398
0.5000 0.5000 0.1856
0.5000 0.5000 0.8350
```

Output
energy above the most stable polymorph in this dataset	19.9	kJ/mol of formula units
E_form	-0.7420	eV per atom

=====

[16]
Entry from Alexandria via LeMat-Bulk: a relaxed structure of Ho5ErZr (PBE).

Cell and atoms, written as POSCAR:
```
Ho5ErZr
1.0
5.9944 0.0000 0.0000
-0.9870 5.9185 0.0000
-1.9626 -2.3395 11.5872
Ho Er Zr
10 2 2
Direct
0.0682 0.1370 0.1386
0.0680 0.1374 0.6386
0.2229 0.4331 0.4311
0.2226 0.4334 0.9309
0.3628 0.7225 0.2162
0.6372 0.2775 0.7838
0.7774 0.5666 0.0691
0.7771 0.5669 0.5689
0.9320 0.8626 0.3614
0.9318 0.8630 0.8614
0.3621 0.7228 0.7160
0.6379 0.2772 0.2840
0.5000 0.0000 0.0000
0.5000 0.0000 0.5000
```

Output
E_form	0.0551	eV per atom